An optimized crystal structure of LiNpAl11, computed with PBE.

Cell and atoms, written as POSCAR:
```
LiNpAl11
1.0
2.658 -6.370 0.000
2.658 6.370 0.000
-2.462 0.000 6.605
Li Np Al
1 1 11
direct
0.000 0.000 0.000
0.500 0.500 0.500
0.000 0.500 0.500
0.003 0.790 0.282
0.149 0.503 0.147
0.210 0.997 0.718
0.497 0.851 0.853
0.500 0.000 0.500
0.500 0.500 0.000
0.503 0.149 0.147
0.790 0.003 0.282
0.851 0.497 0.853
0.997 0.210 0.718
```

Output
Its calculated total energy is -56.447 eV/cell. The density comes out at 4.014 g/cm3. The space-group type is C2/m, No. 12.

=====

An optimized crystal structure of CuAgPt2, computed with PBE.

Cell and atoms, written as POSCAR:
```
CuAgPt2
1.0
1.390 0.803 9.166
-1.390 0.803 9.166
0.000 -1.605 9.166
Cu Ag Pt
1 1 2
direct
0.000 0.000 0.000
0.833 0.833 0.833
0.411 0.411 0.411
0.589 0.589 0.589
```

Output
Its calculated total energy is -19.395 eV/cell. The density comes out at 15.194 g/cm3. The space-group type is R3m, No. 160.

=====

Result set for Fermi-level density of states: 12.304, 2.365 states/eV/f.u., one per record in the order listed.
Result set for formation energy: -0.42, -0.37 eV/f.u., one per record in the order listed.